Record 1
# YPIO2 GGA-PBEsol relaxed
data_YPIO2
_chemical_formula_sum 'Y1 P1 I1 O2'
_space_group_name_H-M_alt 'P 1'
_space_group_IT_number 1
_space_group_name_Hall 'P 1'
_cell_length_a 4.213
_cell_length_b 4.213
_cell_length_c 6.478
_cell_angle_alpha 90.00
_cell_angle_beta 90.00
_cell_angle_gamma 90.00
loop_
_atom_site_label
_atom_site_type_symbol
_atom_site_fract_x
_atom_site_fract_y
_atom_site_fract_z
I1 I 0.000 0.000 0.500
O1 O 0.500 0.000 0.000
O2 O 0.000 0.500 0.000
P1 P 0.500 0.500 0.500
Y1 Y 0.000 0.000 0.000
# **Symmetry**: P4/mmm, No. 123
# **E_form (uncorrected)**: -0.765 eV per atom
# **Mass density**: 4.03 Mg/m³



Record 2
# CsK2PdF5 GGA-PBEsol relaxed
data_CsK2PdF5
_chemical_formula_sum 'Cs2 K4 Pd2 F10'
_space_group_name_H-M_alt 'P 1'
_space_group_IT_number 1
_space_group_name_Hall 'P 1'
_cell_length_a 6.201
_cell_length_b 7.279
_cell_length_c 7.279
_cell_angle_alpha 90.00
_cell_angle_beta 90.00
_cell_angle_gamma 90.00
loop_
_atom_site_label
_atom_site_type_symbol
_atom_site_fract_x
_atom_site_fract_y
_atom_site_fract_z
F1 F 0.774 0.632 0.132
F2 F 0.774 0.868 0.632
F3 F 0.774 0.132 0.368
F4 F 0.226 0.632 0.132
F5 F 0.226 0.868 0.632
F6 F 0.774 0.368 0.868
F7 F 0.500 0.000 0.000
F8 F 0.500 0.500 0.500
F9 F 0.226 0.368 0.868
F10 F 0.226 0.132 0.368
Cs1 Cs 0.000 0.500 0.500
Cs2 Cs 0.000 0.000 0.000
K1 K 0.500 0.176 0.676
K2 K 0.500 0.676 0.824
K3 K 0.500 0.324 0.176
K4 K 0.500 0.824 0.324
Pd1 Pd 0.000 0.500 0.000
Pd2 Pd 0.000 0.000 0.500
# **Symmetry**: P4/mbm, No. 127
# **E_form (uncorrected)**: -2.301 eV per atom
# **Mass density**: 4.17 Mg/m³



Record 3
# BeTl2S GGA-PBEsol relaxed
data_BeTl2S
_chemical_formula_sum 'Be1 Tl2 S1'
_space_group_name_H-M_alt 'P 1'
_space_group_IT_number 1
_space_group_name_Hall 'P 1'
_cell_length_a 5.024
_cell_length_b 5.024
_cell_length_c 5.024
_cell_angle_alpha 60.00
_cell_angle_beta 60.00
_cell_angle_gamma 60.00
loop_
_atom_site_label
_atom_site_type_symbol
_atom_site_fract_x
_atom_site_fract_y
_atom_site_fract_z
S1 S 0.500 0.500 0.500
Tl1 Tl 0.750 0.750 0.750
Tl2 Tl 0.250 0.250 0.250
Be1 Be 0.000 0.000 0.000
# **Symmetry**: Fm-3m, No. 225
# **E_form (uncorrected)**: 0.487 eV per atom
# **Mass density**: 8.33 Mg/m³



Record 4
# YMgOs2 GGA-PBEsol relaxed
data_YMgOs2
_chemical_formula_sum 'Y1 Mg1 Os2'
_space_group_name_H-M_alt 'P 1'
_space_group_IT_number 1
_space_group_name_Hall 'P 1'
_cell_length_a 2.819
_cell_length_b 5.324
_cell_length_c 5.345
_cell_angle_alpha 118.30
_cell_angle_beta 102.63
_cell_angle_gamma 95.20
loop_
_atom_site_label
_atom_site_type_symbol
_atom_site_fract_x
_atom_site_fract_y
_atom_site_fract_z
Mg1 Mg 0.000 0.500 0.000
Y1 Y 0.500 0.000 0.000
Os1 Os 0.500 0.500 0.500
Os2 Os 0.000 0.000 0.500
# **Symmetry**: C2/m, No. 12
# **Mass density**: 12.21 Mg/m³
# **Calculated formation energy**: 0.35 eV/atom



Record 5
# RbInI2 GGA-PBEsol relaxed
data_RbInI2
_chemical_formula_sum 'Rb2 In2 I4'
_space_group_name_H-M_alt 'P 1'
_space_group_IT_number 1
_space_group_name_Hall 'P 1'
_cell_length_a 7.547
_cell_length_b 7.547
_cell_length_c 10.102
_cell_angle_alpha 111.93
_cell_angle_beta 111.93
_cell_angle_gamma 90.00
loop_
_atom_site_label
_atom_site_type_symbol
_atom_site_fract_x
_atom_site_fract_y
_atom_site_fract_z
In1 In 0.250 0.750 0.500
In2 In 0.000 0.000 0.000
Rb1 Rb 0.500 0.500 0.000
Rb2 Rb 0.750 0.250 0.500
I1 I 0.346 0.875 0.250
I2 I 0.904 0.375 0.250
I3 I 0.125 0.096 0.750
I4 I 0.625 0.654 0.750
# **Symmetry**: I-42d, No. 122
# **E_form (uncorrected)**: -0.791 eV per atom
# **Mass density**: 3.09 Mg/m³
# **Energy above the lowest structure with this stoichiometry**: 105.8 meV/atom



Record 6
# LaCoGe GGA-PBEsol relaxed
data_LaCoGe
_chemical_formula_sum 'La2 Co2 Ge2'
_space_group_name_H-M_alt 'P 1'
_space_group_IT_number 1
_space_group_name_Hall 'P 1'
_cell_length_a 4.123
_cell_length_b 4.123
_cell_length_c 6.970
_cell_angle_alpha 90.00
_cell_angle_beta 90.00
_cell_angle_gamma 90.00
loop_
_atom_site_label
_atom_site_type_symbol
_atom_site_fract_x
_atom_site_fract_y
_atom_site_fract_z
Co1 Co 0.500 0.500 0.500
Co2 Co 0.000 0.000 0.500
Ge1 Ge 0.500 0.000 0.675
Ge2 Ge 0.000 0.500 0.325
La1 La 0.500 0.000 0.189
La2 La 0.000 0.500 0.811
# **Symmetry**: P4/nmm, No. 129
# **Mass density**: 7.58 Mg/m³
# **Calculated formation energy**: -0.65 eV/atom



Record 7
# CdOs2Ru GGA-PBEsol relaxed
data_CdOs2Ru
_chemical_formula_sum 'Cd1 Os2 Ru1'
_space_group_name_H-M_alt 'P 1'
_space_group_IT_number 1
_space_group_name_Hall 'P 1'
_cell_length_a 2.691
_cell_length_b 4.853
_cell_length_c 5.353
_cell_angle_alpha 115.90
_cell_angle_beta 102.81
_cell_angle_gamma 93.76
loop_
_atom_site_label
_atom_site_type_symbol
_atom_site_fract_x
_atom_site_fract_y
_atom_site_fract_z
Ru1 Ru 0.500 0.000 0.000
Cd1 Cd 0.000 0.500 0.000
Os1 Os 0.000 0.000 0.500
Os2 Os 0.500 0.500 0.500
# **Symmetry**: C2/m, No. 12
# **Mass density**: 16.37 Mg/m³
# **Calculated formation energy**: 0.82 eV/atom



Record 8
# PRu2Br GGA-PBEsol relaxed
data_PRu2Br
_chemical_formula_sum 'P1 Ru2 Br1'
_space_group_name_H-M_alt 'P 1'
_space_group_IT_number 1
_space_group_name_Hall 'P 1'
_cell_length_a 2.876
_cell_length_b 5.049
_cell_length_c 5.049
_cell_angle_alpha 65.15
_cell_angle_beta 73.45
_cell_angle_gamma 73.45
loop_
_atom_site_label
_atom_site_type_symbol
_atom_site_fract_x
_atom_site_fract_y
_atom_site_fract_z
Br1 Br 0.500 0.000 0.000
P1 P 0.000 0.500 0.500
Ru1 Ru 0.280 0.720 0.720
Ru2 Ru 0.720 0.280 0.280
# **Symmetry**: Immm, No. 71
# **E_form (uncorrected)**: 0.514 eV per atom
# **Mass density**: 8.30 Mg/m³
# **Energy above the lowest structure with this stoichiometry**: 0.0 meV/atom